(1)
{
  "formula": "LaGa3W",
  "functional": "PBE",
  "state": "relaxed",
  "lattice_angstrom": [[5.3228, 0.0000, 0.0000], [0.0000, 5.3228, 0.0000], [0.0000, 0.0000, 5.3228]],
  "species": ["La", "Ga", "Ga", "Ga", "W"],
  "fractional_positions": [[0.0000, 0.0000, 0.0000], [0.0000, 0.0000, 0.5000], [0.0000, 0.5000, 0.0000], [0.5000, 0.0000, 0.0000], [0.5000, 0.5000, 0.5000]],
  "e_form_ev_per_atom": 2.0904,
  "magnetic_moment_mub_per_atom": 0.000,
  "crystal_system": "cubic"
}



(2)
{
  "formula": "LaGa2W",
  "functional": "PBE",
  "state": "relaxed",
  "lattice_angstrom": [[6.8884, 0.0000, 0.0000], [0.0000, 6.8884, 0.0000], [0.0000, 0.0000, 6.8884]],
  "species": ["La", "La", "La", "La", "Ga", "Ga", "Ga", "Ga", "Ga", "Ga", "Ga", "Ga", "W", "W", "W", "W"],
  "fractional_positions": [[0.0000, 0.0000, 0.0000], [0.0000, 0.5000, 0.5000], [0.5000, 0.0000, 0.5000], [0.5000, 0.5000, 0.0000], [0.2500, 0.2500, 0.2500], [0.2500, 0.2500, 0.7500], [0.2500, 0.7500, 0.2500], [0.2500, 0.7500, 0.7500], [0.7500, 0.2500, 0.2500], [0.7500, 0.2500, 0.7500], [0.7500, 0.7500, 0.2500], [0.7500, 0.7500, 0.7500], [0.0000, 0.0000, 0.5000], [0.0000, 0.5000, 0.0000], [0.5000, 0.0000, 0.0000], [0.5000, 0.5000, 0.5000]],
  "e_form_ev_per_atom": 0.1808,
  "magnetic_moment_mub_per_atom": 0.574,
  "crystal_system": "cubic",
  "relative_energy_mev_per_atom": 0
}



(3)
{
  "formula": "La2GaW",
  "functional": "PBE",
  "state": "relaxed",
  "lattice_angstrom": [[8.3537, 0.0000, 0.0000], [0.0000, 8.3537, 0.0000], [0.0000, 0.0000, 5.9337]],
  "species": ["La", "La", "La", "La", "La", "La", "La", "La", "Ga", "Ga", "Ga", "Ga", "W", "W", "W", "W"],
  "fractional_positions": [[0.2096, 0.7500, 0.1250], [0.2500, 0.2096, 0.8750], [0.2500, 0.2904, 0.3750], [0.2904, 0.7500, 0.6250], [0.7096, 0.2500, 0.6250], [0.7500, 0.7096, 0.3750], [0.7500, 0.7904, 0.8750], [0.7904, 0.2500, 0.1250], [0.0000, 0.0000, 0.5000], [0.0000, 0.5000, 0.7500], [0.5000, 0.0000, 0.2500], [0.5000, 0.5000, 0.0000], [0.0000, 0.0000, 0.0000], [0.0000, 0.5000, 0.2500], [0.5000, 0.0000, 0.7500], [0.5000, 0.5000, 0.5000]],
  "e_form_ev_per_atom": 0.5739,
  "magnetic_moment_mub_per_atom": 0.000,
  "crystal_system": "tetragonal"
}



(4)
{
  "formula": "LaGaW3",
  "functional": "PBE",
  "state": "relaxed",
  "lattice_angstrom": [[4.7737, 0.0000, 0.0000], [0.0000, 4.7737, 0.0000], [0.0000, 0.0000, 4.7737]],
  "species": ["La", "Ga", "W", "W", "W"],
  "fractional_positions": [[0.0000, 0.0000, 0.0000], [0.5000, 0.5000, 0.5000], [0.0000, 0.5000, 0.5000], [0.5000, 0.0000, 0.5000], [0.5000, 0.5000, 0.0000]],
  "e_form_ev_per_atom": 1.4759,
  "magnetic_moment_mub_per_atom": 0.000,
  "crystal_system": "cubic",
  "relative_energy_mev_per_atom": 0
}



(5)
{
  "formula": "LaGa2W",
  "functional": "PBE",
  "state": "relaxed",
  "lattice_angstrom": [[4.7429, 0.0000, 0.0000], [0.0000, 4.7429, 0.0000], [0.0000, 0.0000, 17.9570]],
  "species": ["La", "La", "La", "La", "Ga", "Ga", "Ga", "Ga", "Ga", "Ga", "Ga", "Ga", "W", "W", "W", "W"],
  "fractional_positions": [[0.0000, 0.0000, 0.0000], [0.0000, 0.5000, 0.2500], [0.5000, 0.0000, 0.7500], [0.5000, 0.5000, 0.5000], [0.0778, 0.2500, 0.6250], [0.2500, 0.5778, 0.8750], [0.2500, 0.9222, 0.3750], [0.4222, 0.2500, 0.1250], [0.5778, 0.7500, 0.1250], [0.7500, 0.0778, 0.3750], [0.7500, 0.4222, 0.8750], [0.9222, 0.7500, 0.6250], [0.0000, 0.0000, 0.5000], [0.0000, 0.5000, 0.7500], [0.5000, 0.0000, 0.2500], [0.5000, 0.5000, 0.0000]],
  "e_form_ev_per_atom": 0.3567,
  "magnetic_moment_mub_per_atom": 0.182,
  "crystal_system": "tetragonal",
  "relative_energy_mev_per_atom": 176
}



(6)
{
  "formula": "LaGaW3",
  "functional": "PBE",
  "state": "relaxed",
  "lattice_angstrom": [[4.8862, 0.0000, 0.0000], [0.0000, 4.8862, 0.0000], [0.0000, 0.0000, 4.8862]],
  "species": ["La", "Ga", "W", "W", "W"],
  "fractional_positions": [[0.0000, 0.0000, 0.0000], [0.5000, 0.5000, 0.5000], [0.0000, 0.0000, 0.5000], [0.0000, 0.5000, 0.0000], [0.5000, 0.0000, 0.0000]],
  "e_form_ev_per_atom": 2.9767,
  "magnetic_moment_mub_per_atom": 0.000,
  "crystal_system": "cubic",
  "relative_energy_mev_per_atom": 1501
}